Record 1
Compound: BaY2In2
Source: Alexandria via LeMat-Bulk
Functional: PBE
Structure: optimized geometry

As for the total energy: -4.408 eV per atom. The density of states at the Fermi level comes out at 0.89 states/eV per atom. As for the spin magnetization: 0.00 μB/f.u. Its theoretical density is 5.77 g/cm³. The calculation puts the energy above the most stable polymorph in this dataset at 0.00 eV/f.u.

```
data_BaY2In2
_chemical_formula_sum 'Ba2 Y4 In4'
_cell_length_a 9.455
_cell_length_b 9.455
_cell_length_c 3.508
_cell_angle_alpha 90.00
_cell_angle_beta 90.00
_cell_angle_gamma 90.00
_symmetry_space_group_name_H-M 'P 4/m b m'
_symmetry_Int_Tables_number 127
_symmetry_space_group_name_Hall '-P 4 2ab'
loop_
_atom_site_label
_atom_site_fract_x
_atom_site_fract_y
_atom_site_fract_z
_atom_site_occupancy
Ba1 0.000 0.000 0.000 1
Y1 0.126 0.374 0.000 1
In1 0.172 0.672 0.500 1
```

Record 2
Compound: Sm6Tl5Bi
Source: Alexandria via LeMat-Bulk
Functional: PBE
Structure: optimized geometry

As for the total energy: -4.095 eV per atom. The density of states at the Fermi level comes out at 0.70 states/eV per atom. As for the spin magnetization: 0.00 μB/f.u. Its theoretical density is 10.19 g/cm³.

```
data_Sm6Tl5Bi
_chemical_formula_sum 'Sm12 Tl10 Bi2'
_cell_length_a 5.174
_cell_length_b 8.716
_cell_length_c 15.415
_cell_angle_alpha 90.00
_cell_angle_beta 90.00
_cell_angle_gamma 90.00
_symmetry_space_group_name_H-M 'I m m m'
_symmetry_Int_Tables_number 71
_symmetry_space_group_name_Hall '-I 2 2'
loop_
_atom_site_label
_atom_site_fract_x
_atom_site_fract_y
_atom_site_fract_z
_atom_site_occupancy
Sm1 0.000 0.249 0.000 1
Sm2 0.000 0.249 0.334 1
Tl1 0.000 0.000 0.166 1
Tl2 0.000 0.500 0.174 1
Tl3 0.000 0.500 0.500 1
Bi1 0.000 0.000 0.500 1
```

Record 3
Compound: Na3Ho3NpSe8
Source: Alexandria via LeMat-Bulk
Functional: PBE
Structure: optimized geometry

The value obtained for the formation energy (no corrections) is -1565 meV per atom. As for the total energy: -5.465 eV per atom. The density of states at the Fermi level comes out at 0.21 states/eV per atom. As for the spin magnetization: 3.00 μB/f.u. Its theoretical density is 5.72 g/cm³.

```
data_Na3Ho3NpSe8
_chemical_formula_sum 'Na9 Ho9 Np3 Se24'
_cell_length_a 8.2580
_cell_length_b 8.2580
_cell_length_c 21.1145
_cell_angle_alpha 90.00
_cell_angle_beta 90.00
_cell_angle_gamma 120.00
_symmetry_space_group_name_H-M 'R -3 m'
_symmetry_Int_Tables_number 166
_symmetry_space_group_name_Hall '-R 3 2"'
loop_
_atom_site_label
_atom_site_fract_x
_atom_site_fract_y
_atom_site_fract_z
_atom_site_occupancy
Na1 0.0000 0.5000 0.0000 1
Ho1 0.0000 0.5000 0.5000 1
Np1 0.0000 0.0000 0.5000 1
Se1 0.0000 0.0000 0.2428 1
Se2 0.0019 0.5009 0.2414 1
```

Record 4
Compound: ScInAgCl2
Source: Alexandria via LeMat-Bulk
Functional: PBE
Structure: optimized geometry

The value obtained for the formation energy (no corrections) is -751 meV per atom. As for the total energy: -3.874 eV per atom. The density of states at the Fermi level comes out at 0.60 states/eV per atom. As for the spin magnetization: 0.17 μB/f.u. Its theoretical density is 3.97 g/cm³.

```
data_ScInAgCl2
_chemical_formula_sum 'Sc1 In1 Ag1 Cl2'
_cell_length_a 4.887
_cell_length_b 4.887
_cell_length_c 5.928
_cell_angle_alpha 90.00
_cell_angle_beta 90.00
_cell_angle_gamma 90.00
_symmetry_space_group_name_H-M 'P 4/m m m'
_symmetry_Int_Tables_number 123
_symmetry_space_group_name_Hall '-P 4 2'
loop_
_atom_site_label
_atom_site_fract_x
_atom_site_fract_y
_atom_site_fract_z
_atom_site_occupancy
Sc1 0.000 0.000 0.000 1
In1 0.500 0.500 0.500 1
Ag1 0.000 0.000 0.500 1
Cl1 0.000 0.500 0.000 1
```

Record 5
Compound: Co2Ir
Source: Alexandria via LeMat-Bulk
Functional: PBE
Structure: optimized geometry

As for the total energy: -7.618 eV per atom. The density of states at the Fermi level comes out at 0.93 states/eV per atom. As for the spin magnetization: 4.18 μB/f.u. Its theoretical density is 13.81 g/cm³. The calculation puts the energy above the most stable polymorph in this dataset at 0.16 eV/f.u.

```
data_Co2Ir
_chemical_formula_sum 'Co2 Ir1'
_cell_length_a 4.0737
_cell_length_b 4.0737
_cell_length_c 2.5944
_cell_angle_alpha 90.00
_cell_angle_beta 90.00
_cell_angle_gamma 120.00
_symmetry_space_group_name_H-M 'P 6/m m m'
_symmetry_Int_Tables_number 191
_symmetry_space_group_name_Hall '-P 6 2'
loop_
_atom_site_label
_atom_site_fract_x
_atom_site_fract_y
_atom_site_fract_z
_atom_site_occupancy
Co1 0.3333 0.6667 0.0000 1
Ir1 0.0000 0.0000 0.5000 1
```

Record 6
Compound: VCdTe2Os
Source: Alexandria via LeMat-Bulk
Functional: PBE
Structure: optimized geometry

The value obtained for the formation energy (no corrections) is 770 meV per atom. As for the total energy: -4.739 eV per atom. The density of states at the Fermi level comes out at 1.28 states/eV per atom. As for the spin magnetization: 2.22 μB/f.u. Its theoretical density is 7.55 g/cm³.

```
data_VCdTe2Os
_chemical_formula_sum 'V1 Cd1 Te2 Os1'
_cell_length_a 5.319
_cell_length_b 5.319
_cell_length_c 4.730
_cell_angle_alpha 90.00
_cell_angle_beta 90.00
_cell_angle_gamma 90.00
_symmetry_space_group_name_H-M 'P 4/m m m'
_symmetry_Int_Tables_number 123
_symmetry_space_group_name_Hall '-P 4 2'
loop_
_atom_site_label
_atom_site_fract_x
_atom_site_fract_y
_atom_site_fract_z
_atom_site_occupancy
V1 0.000 0.000 0.000 1
Cd1 0.500 0.500 0.000 1
Te1 0.000 0.500 0.500 1
Os1 0.000 0.000 0.500 1
```